# 1
Density functional theory data (PBE) for ZnFe3Si after structural relaxation.

abc: 4.362 4.362 4.362
angles: 90.00 90.00 90.00
Last column: magnetic moment on the atom in μB.
Sites, in units of the cell vectors:
Zn: 0.000 0.000 0.000  -0.09
Si: 0.500 0.500 0.500  -0.02
Fe: 0.000 0.500 0.000  2.79
Fe: 0.000 0.000 0.500  3.04
Fe: 0.500 0.000 0.000  2.40

Properties
crystal system: cubic
energy relative to the lowest polymorph listed for this composition: 56.30 kJ per mole of atoms
space-group type: No. 221
energy relative to the elements, uncorrected: 1200 meV per atom
size of the total moment: 8.0 Bohr magnetons per cell

---

# 2
Density functional theory data (PBE) for AcPrInN3 after structural relaxation.

abc: 3.618 6.225 9.197
angles: 97.88 90.00 90.00
Sites, in units of the cell vectors:
Ac: 0.750 0.672 0.687
Ac: 0.250 0.328 0.313
Pr: 0.250 0.759 0.049
Pr: 0.750 0.241 0.951
In: 0.250 0.162 0.649
In: 0.750 0.838 0.351
N: 0.250 0.751 0.475
N: 0.750 0.039 0.169
N: 0.750 0.539 0.161
N: 0.750 0.249 0.525
N: 0.250 0.461 0.839
N: 0.250 0.961 0.831

Properties
crystal system: monoclinic
space-group type: No. 11
energy relative to the elements, uncorrected: -754 meV per atom
size of the total moment: 0.0 Bohr magnetons per cell

---

# 3
Density functional theory data (PBE) for Dy8AlCd2 after structural relaxation.

abc: 5.240 7.034 9.322
angles: 106.62 106.32 90.00
Sites, in units of the cell vectors:
Dy: 0.408 0.545 0.816
Dy: 0.664 0.964 0.327
Dy: 0.805 0.707 0.611
Dy: 0.979 0.229 0.957
Dy: 0.195 0.293 0.389
Dy: 0.336 0.036 0.673
Dy: 0.592 0.455 0.184
Dy: 0.021 0.771 0.043
Al: 0.500 0.000 0.000
Cd: 0.816 0.290 0.631
Cd: 0.184 0.710 0.369

Properties
crystal system: monoclinic
space-group type: No. 12
ΔE_f: -0.139 eV/atom
size of the total moment: 0.0 Bohr magnetons per cell

---

Q: Look up the size of the total moment of the second one.
A: 0.0 Bohr magnetons per cell